[1]
## PrBeAl2Pt4 (PBE-GGA)

Data for crystalline PrBeAl2Pt4 at its relaxed geometry.

```
8
Lattice="-0.895 -3.914 1.364 2.508 -1.873 2.860 -4.308 1.426 7.855" Properties=species:S:1:pos:R:3 pbc="T T T"
Pr 0.000 0.000 0.000
Be -1.347 -2.181 6.040
Al -1.833 -3.401 8.810
Al -0.861 -0.961 3.269
Pt -2.672 -1.264 7.802
Pt -0.385 -4.404 6.883
Pt -2.309 0.042 5.196
Pt -0.023 -3.098 4.277
```

Summary:
Total magnetic moment   0.00 μB per formula unit
DFT total energy   -6.03 eV per atom
Formation enthalpy at 0 K   -1.01 eV/atom
Density of states at the Fermi level   0.364 states/eV/atom


[2]
## Pr3Be2AlPt9 (PBE-GGA)

Data for crystalline Pr3Be2AlPt9 at its relaxed geometry.

```
15
Lattice="5.888 0.000 0.000 -2.944 5.099 0.000 0.000 0.000 9.324" Properties=species:S:1:pos:R:3 pbc="T T T"
Pr 0.000 3.400 5.843
Pr 0.000 0.000 0.000
Pr 2.944 1.700 3.481
Be 0.000 3.400 1.422
Be 2.944 1.700 7.902
Al 0.000 0.000 4.662
Pt 4.441 0.836 6.525
Pt 2.944 3.428 6.525
Pt 1.447 0.836 6.525
Pt 1.497 4.264 2.799
Pt 0.000 1.671 2.799
Pt -1.497 4.264 2.799
Pt 2.944 0.000 0.000
Pt -1.472 2.550 0.000
Pt 1.472 2.550 0.000
```

Summary:
Total magnetic moment   0.00 μB per formula unit
DFT total energy   -6.18 eV per atom
Formation enthalpy at 0 K   -0.85 eV/atom
Density of states at the Fermi level   0.298 states/eV/atom


[3]
## PrBeAl2Ru2 (PBE-GGA)

Data for crystalline PrBeAl2Ru2 at its relaxed geometry.

```
6
Lattice="4.341 0.000 0.000 0.000 4.341 0.000 0.000 0.000 5.547" Properties=species:S:1:pos:R:3 pbc="T T T"
Pr 0.000 0.000 2.773
Be 0.000 0.000 0.000
Al 2.170 2.170 4.185
Al 2.170 2.170 1.362
Ru 2.170 0.000 0.000
Ru 0.000 2.170 0.000
```

Summary:
Total magnetic moment   0.00 μB per formula unit
DFT total energy   -6.24 eV per atom
Formation enthalpy at 0 K   -0.48 eV/atom
Density of states at the Fermi level   0.409 states/eV/atom


[4]
## PrScBeAl (PBE-GGA)

Data for crystalline PrScBeAl at its relaxed geometry.

```
4
Lattice="-3.894 2.850 -1.066 -4.423 -1.032 1.947 -1.923 2.952 3.465" Properties=species:S:1:pos:R:3 pbc="T T T"
Pr -7.680 3.577 3.260
Sc -2.560 1.192 1.087
Al -5.120 2.385 2.173
Be 0.000 0.000 0.000
```

Summary:
Total magnetic moment   0.00 μB per formula unit
DFT total energy   -4.73 eV per atom
Formation enthalpy at 0 K   -0.08 eV/atom
Density of states at the Fermi level   0.854 states/eV/atom


[5]
## Pr2Be4AlSi3 (PBE-GGA)

Data for crystalline Pr2Be4AlSi3 at its relaxed geometry.

```
10
Lattice="4.004 0.000 0.000 0.000 4.004 0.000 0.000 0.000 9.824" Properties=species:S:1:pos:R:3 pbc="T T T"
Pr 2.002 0.000 2.398
Pr 0.000 2.002 7.426
Be 2.002 2.002 0.000
Be 0.000 0.000 0.000
Be 2.002 0.000 6.260
Be 0.000 2.002 3.564
Al 2.002 2.002 4.912
Si 0.000 0.000 4.912
Si 2.002 0.000 8.585
Si 0.000 2.002 1.238
```

Summary:
Total magnetic moment   0.00 μB per formula unit
DFT total energy   -4.81 eV per atom
Uncorrected formation energy   -0.36 eV per atom
Density of states at the Fermi level   0.279 states/eV/atom


[6]
## Be2AlPt (PBE-GGA)

Data for crystalline Be2AlPt at its relaxed geometry.

```
8
Lattice="-2.350 6.006 -2.056 -6.094 -1.521 2.523 -3.583 3.224 2.369" Properties=species:S:1:pos:R:3 pbc="T T T"
Be -3.232 4.641 -0.470
Be -4.892 0.335 2.005
Be -5.578 4.168 1.838
Be -10.351 6.274 2.300
Al -4.222 2.243 0.234
Al -6.950 1.973 2.563
Pt 0.000 0.000 0.000
Pt -5.077 5.736 0.274
```

Summary:
Total magnetic moment   0.00 μB per formula unit
DFT total energy   -4.27 eV per atom
Formation enthalpy at 0 K   0.04 eV/atom
Density of states at the Fermi level   0.302 states/eV/atom


[7]
## Be2AlPt (PBE-GGA)

Data for crystalline Be2AlPt at its relaxed geometry.

```
4
Lattice="4.435 -0.005 -0.004 1.507 4.171 0.008 -2.967 -2.087 2.545" Properties=species:S:1:pos:R:3 pbc="T T T"
Be -1.460 2.084 2.553
Be 2.218 -0.003 1.272
Al 0.756 2.082 1.278
Pt 0.005 -0.005 2.547
```

Summary:
Total magnetic moment   0.00 μB per formula unit
DFT total energy   -4.79 eV per atom
Formation enthalpy at 0 K   -0.48 eV/atom
Density of states at the Fermi level   0.219 states/eV/atom


[8]
## Be2AlPt (PBE-GGA)

Data for crystalline Be2AlPt at its relaxed geometry.

```
4
Lattice="-1.247 4.170 -0.180 -2.634 0.726 3.394 3.974 -1.778 -0.173" Properties=species:S:1:pos:R:3 pbc="T T T"
Be -3.880 4.896 3.213
Be -1.941 2.448 1.607
Al -0.300 0.698 2.414
Pt 0.393 2.420 0.627
```

Summary:
Total magnetic moment   0.00 μB per formula unit
DFT total energy   -4.82 eV per atom
Formation enthalpy at 0 K   -0.51 eV/atom
Density of states at the Fermi level   0.217 states/eV/atom


[9]
## BeAl3Pt (PBE-GGA)

Data for crystalline BeAl3Pt at its relaxed geometry.

```
5
Lattice="-2.335 -3.233 1.484 1.428 -2.478 -3.151 3.258 -1.231 2.445" Properties=species:S:1:pos:R:3 pbc="T T T"
Be 0.000 0.000 0.000
Al 0.714 -1.239 -1.575
Al 1.629 -0.615 1.222
Al -1.167 -1.616 0.742
Pt 1.176 -3.471 0.389
```

Summary:
Excess energy over the best structure of this formula in the dataset   0.0000 eV/atom
Total magnetic moment   0.00 μB per formula unit
DFT total energy   -4.02 eV per atom
Formation enthalpy at 0 K   0.18 eV/atom
Density of states at the Fermi level   0.350 states/eV/atom


[10]
## Be2AlPt (PBE-GGA)

Data for crystalline Be2AlPt at its relaxed geometry.

```
4
Lattice="4.049 0.000 0.000 0.000 2.776 -0.024 0.000 0.049 4.494" Properties=species:S:1:pos:R:3 pbc="T T T"
Be 0.000 0.701 4.464
Be 0.000 0.760 2.265
Al 2.025 2.119 3.353
Pt 2.025 0.706 1.118
```

Summary:
Total magnetic moment   0.00 μB per formula unit
DFT total energy   -4.59 eV per atom
Formation enthalpy at 0 K   -0.28 eV/atom
Density of states at the Fermi level   0.395 states/eV/atom


[11]
## Be4AlPt (PBE-GGA)

Data for crystalline Be4AlPt at its relaxed geometry.

```
6
Lattice="-1.171 1.589 3.925 0.200 -2.569 3.559 3.054 0.737 3.072" Properties=species:S:1:pos:R:3 pbc="T T T"
Al 0.000 0.000 0.000
Be 1.881 -0.941 4.640
Be 1.300 -0.151 6.589
Be 1.200 1.124 4.821
Be -0.217 -0.517 5.063
Pt 0.521 -0.061 2.639
```

Summary:
Total magnetic moment   0.00 μB per formula unit
DFT total energy   -4.57 eV per atom
Formation enthalpy at 0 K   -0.45 eV/atom
Density of states at the Fermi level   0.105 states/eV/atom


[12]
## Be2AlPt (PBE-GGA)

Data for crystalline Be2AlPt at its relaxed geometry.

```
4
Lattice="2.991 0.000 0.000 0.000 3.062 0.000 0.000 0.000 5.216" Properties=species:S:1:pos:R:3 pbc="T T T"
Be 0.000 0.000 0.140
Be 1.496 1.531 1.217
Al 1.496 1.531 3.983
Pt 0.000 0.000 2.483
```

Summary:
Total magnetic moment   0.00 μB per formula unit
DFT total energy   -4.70 eV per atom
Formation enthalpy at 0 K   -0.39 eV/atom
Density of states at the Fermi level   0.266 states/eV/atom


[13]
## Be2AlPt (PBE-GGA)

Data for crystalline Be2AlPt at its relaxed geometry.

```
4
Lattice="7.873 0.019 0.011 7.384 2.730 0.011 7.384 1.331 2.384" Properties=species:S:1:pos:R:3 pbc="T T T"
Be 22.525 4.059 2.394
Be 5.731 1.033 0.609
Al 16.894 3.044 1.796
Pt 11.456 2.064 1.218
```

Summary:
Total magnetic moment   0.00 μB per formula unit
DFT total energy   -4.39 eV per atom
Formation enthalpy at 0 K   -0.08 eV/atom
Density of states at the Fermi level   0.357 states/eV/atom


[14]
## Be2AlPt (PBE-GGA)

Data for crystalline Be2AlPt at its relaxed geometry.

```
4
Lattice="-3.794 -1.550 -1.676 3.329 -3.276 1.411 -0.715 -0.827 2.518" Properties=species:S:1:pos:R:3 pbc="T T T"
Be 0.000 0.000 0.000
Be -2.255 -1.188 0.421
Al -0.233 -2.413 -0.133
Pt 1.307 -2.051 1.964
```

Summary:
Total magnetic moment   0.00 μB per formula unit
DFT total energy   -4.54 eV per atom
Formation enthalpy at 0 K   -0.23 eV/atom
Density of states at the Fermi level   0.416 states/eV/atom


[15]
## Be2AlPt (PBE-GGA)

Data for crystalline Be2AlPt at its relaxed geometry.

```
4
Lattice="-2.845 0.183 0.945 -0.809 -2.185 -2.014 0.942 -3.604 3.533" Properties=species:S:1:pos:R:3 pbc="T T T"
Be 0.012 -0.048 0.047
Be 0.458 -1.754 1.720
Al -1.121 -3.705 2.115
Pt -1.592 -1.902 0.349
```

Summary:
Total magnetic moment   0.00 μB per formula unit
DFT total energy   -4.73 eV per atom
Formation enthalpy at 0 K   -0.43 eV/atom
Density of states at the Fermi level   0.223 states/eV/atom


[16]
## Be2AlPt (PBE-GGA)

Data for crystalline Be2AlPt at its relaxed geometry.

```
4
Lattice="-1.095 -1.411 3.305 -2.079 -1.251 -1.223 1.539 -4.321 -1.335" Properties=species:S:1:pos:R:3 pbc="T T T"
Be -0.361 -0.270 -0.235
Be -0.299 -1.870 1.238
Al -1.001 -5.093 -0.371
Pt -0.244 -2.535 -1.163
```

Summary:
Total magnetic moment   0.00 μB per formula unit
DFT total energy   -4.71 eV per atom
Formation enthalpy at 0 K   -0.40 eV/atom
Density of states at the Fermi level   0.172 states/eV/atom


[17]
## Be5AlPt6 (PBE-GGA)

Data for crystalline Be5AlPt6 at its relaxed geometry.

```
12
Lattice="-3.434 -0.894 -1.734 3.011 -1.228 -5.329 2.349 -5.218 2.530" Properties=species:S:1:pos:R:3 pbc="T T T"
Be -0.002 -2.931 -2.983
Be 3.427 -4.954 -4.236
Be 1.506 -0.614 -2.665
Be -1.500 -2.385 -0.298
Be 1.929 -4.408 -1.551
Al 0.000 0.000 0.000
Pt 0.938 -5.111 -3.724
Pt -0.523 -4.515 -1.137
Pt 1.426 -5.989 0.257
Pt 0.500 -1.351 -4.791
Pt 2.450 -2.824 -3.397
Pt 0.988 -2.228 -0.810
```

Summary:
Total magnetic moment   0.00 μB per formula unit
DFT total energy   -5.66 eV per atom
Formation enthalpy at 0 K   -0.78 eV/atom
Density of states at the Fermi level   0.223 states/eV/atom


[18]
## Be2AlPt (PBE-GGA)

Data for crystalline Be2AlPt at its relaxed geometry.

```
4
Lattice="7.893 0.027 0.016 7.401 2.744 0.016 7.401 1.341 2.395" Properties=species:S:1:pos:R:3 pbc="T T T"
Be 22.585 4.092 2.414
Be 11.458 2.076 1.225
Al 17.021 3.084 1.820
Pt 5.674 1.028 0.607
```

Summary:
Total magnetic moment   0.00 μB per formula unit
DFT total energy   -4.44 eV per atom
Formation enthalpy at 0 K   -0.13 eV/atom
Density of states at the Fermi level   0.251 states/eV/atom


[19]
## Be2AlPt (PBE-GGA)

Data for crystalline Be2AlPt at its relaxed geometry.

```
4
Lattice="4.333 0.025 -0.035 3.403 2.681 -0.035 0.929 0.325 4.216" Properties=species:S:1:pos:R:3 pbc="T T T"
Be 0.956 0.334 4.102
Be 4.305 1.506 2.186
Al 2.166 0.758 1.036
Pt 6.499 2.274 3.109
```

Summary:
Total magnetic moment   0.00 μB per formula unit
DFT total energy   -4.66 eV per atom
Formation enthalpy at 0 K   -0.35 eV/atom
Density of states at the Fermi level   0.125 states/eV/atom


[20]
## Be2AlPt (PBE-GGA)

Data for crystalline Be2AlPt at its relaxed geometry.

```
4
Lattice="-3.051 2.612 0.654 -1.882 0.069 3.608 0.529 3.159 2.511" Properties=species:S:1:pos:R:3 pbc="T T T"
Be 0.000 0.000 0.000
Be -1.101 1.460 1.693
Al -2.202 2.920 3.386
Pt -3.303 4.381 5.079
```

Summary:
Total magnetic moment   0.00 μB per formula unit
DFT total energy   -4.71 eV per atom
Formation enthalpy at 0 K   -0.40 eV/atom
Density of states at the Fermi level   0.069 states/eV/atom


[21]
## Be2AlPt (PBE-GGA)

Data for crystalline Be2AlPt at its relaxed geometry.

```
4
Lattice="3.663 0.000 0.000 0.000 3.664 0.000 0.000 0.000 3.505" Properties=species:S:1:pos:R:3 pbc="T T T"
Be 0.000 0.000 0.000
Be 1.831 1.832 0.000
Al 0.000 1.832 1.753
Pt 1.831 0.000 1.753
```

Summary:
Total magnetic moment   0.00 μB per formula unit
DFT total energy   -4.76 eV per atom
Formation enthalpy at 0 K   -0.45 eV/atom
Density of states at the Fermi level   0.247 states/eV/atom


[22]
## BeAl3Pt (PBE-GGA)

Data for crystalline BeAl3Pt at its relaxed geometry.

```
5
Lattice="-2.298 -1.918 3.701 -0.334 -4.128 -2.347 4.155 -1.393 1.858" Properties=species:S:1:pos:R:3 pbc="T T T"
Be 0.761 -3.719 1.606
Al -0.167 -2.064 -1.173
Al 2.078 -0.696 0.929
Al -1.149 -0.959 1.850
Pt 0.000 0.000 0.000
```

Summary:
Excess energy over the best structure of this formula in the dataset   0.0813 eV/atom
Total magnetic moment   0.00 μB per formula unit
DFT total energy   -3.94 eV per atom
Formation enthalpy at 0 K   0.26 eV/atom
Density of states at the Fermi level   0.386 states/eV/atom


[23]
## Be2AlPt8 (PBE-GGA)

Data for crystalline Be2AlPt8 at its relaxed geometry.

```
11
Lattice="-0.175 0.591 3.844 4.508 -3.733 0.780 2.796 6.358 -2.822" Properties=species:S:1:pos:R:3 pbc="T T T"
Be 2.947 3.321 1.595
Be 4.182 -0.105 0.207
Al -0.088 0.296 1.922
Pt 4.598 3.393 -0.313
Pt 5.211 -1.007 2.364
Pt 4.606 1.715 1.917
Pt 3.510 5.580 1.273
Pt 2.523 1.500 -0.116
Pt 1.918 4.223 -0.562
Pt 2.531 -0.177 2.114
Pt 3.619 -2.365 0.529
```

Summary:
Total magnetic moment   0.00 μB per formula unit
DFT total energy   -5.88 eV per atom
Formation enthalpy at 0 K   -0.47 eV/atom
Density of states at the Fermi level   0.598 states/eV/atom


[24]
## PuBeAlPt2 (PBE-GGA)

Data for crystalline PuBeAlPt2 at its relaxed geometry.

```
5
Lattice="-2.278 -3.223 -0.244 2.910 -1.915 -1.872 1.696 0.770 6.028" Properties=species:S:1:pos:R:3 pbc="T T T"
Pu 0.000 0.000 0.000
Be 2.461 -1.857 1.549
Al -0.133 -2.511 2.363
Pt 0.805 -3.007 0.150
Pt 1.523 -1.362 3.762
```

Summary:
Total magnetic moment   5.58 μB per formula unit
DFT total energy   -7.54 eV per atom
Formation enthalpy at 0 K   -0.76 eV/atom
Density of states at the Fermi level   2.658 states/eV/atom


[25]
## PuBeAlPt3 (PBE-GGA)

Data for crystalline PuBeAlPt3 at its relaxed geometry.

```
12
Lattice="5.528 0.000 0.000 0.000 6.847 0.000 0.000 -3.424 5.874" Properties=species:S:1:pos:R:3 pbc="T T T"
Pu 4.146 0.000 3.386
Pu 1.382 3.424 2.488
Be 1.382 0.000 4.600
Be 4.146 3.424 1.274
Al 1.382 3.424 5.742
Al 4.146 0.000 0.132
Pt 1.382 0.000 2.394
Pt 0.000 2.042 0.000
Pt 2.764 4.806 0.000
Pt 2.764 2.042 0.000
Pt 0.000 4.806 0.000
Pt 4.146 3.424 3.480
```

Summary:
Total magnetic moment   5.28 μB per formula unit
DFT total energy   -7.26 eV per atom
Formation enthalpy at 0 K   -0.60 eV/atom
Density of states at the Fermi level   2.302 states/eV/atom


[26]
## Pu2Be3AlPt4 (PBE-GGA)

Data for crystalline Pu2Be3AlPt4 at its relaxed geometry.

```
10
Lattice="4.027 0.000 0.000 0.000 4.027 0.000 0.000 0.000 10.117" Properties=species:S:1:pos:R:3 pbc="T T T"
Pu 2.013 0.000 2.460
Pu 0.000 2.013 7.657
Be 0.000 0.000 5.058
Be 2.013 0.000 8.918
Be 0.000 2.013 1.198
Al 2.013 2.013 5.058
Pt 2.013 2.013 0.000
Pt 0.000 0.000 0.000
Pt 2.013 0.000 6.517
Pt 0.000 2.013 3.600
```

Summary:
Total magnetic moment   11.01 μB per formula unit
DFT total energy   -7.53 eV per atom
Formation enthalpy at 0 K   -0.75 eV/atom
Density of states at the Fermi level   2.630 states/eV/atom


[27]
## PuBeAl2Pt4 (PBE-GGA)

Data for crystalline PuBeAl2Pt4 at its relaxed geometry.

```
8
Lattice="4.224 0.000 0.000 2.112 3.658 0.000 2.112 1.219 8.534" Properties=species:S:1:pos:R:3 pbc="T T T"
Pu 0.000 0.000 0.000
Be 4.224 2.438 4.267
Al 6.335 3.658 6.109
Al 2.112 1.219 2.425
Pt 4.223 2.438 6.686
Pt 6.335 3.658 3.494
Pt 2.112 1.219 5.040
Pt 4.224 2.438 1.849
```

Summary:
Total magnetic moment   4.95 μB per formula unit
DFT total energy   -7.10 eV per atom
Formation enthalpy at 0 K   -0.89 eV/atom
Density of states at the Fermi level   1.711 states/eV/atom